Density functional theory data (PBE-GGA) for an optimized crystal structure of Pr2Al4Pt3Au.

Lattice parameters (Å, degrees): 4.342 4.342 10.479 90.00 90.00 90.00
Element x y z (fractional)
Pr 0.000 0.500 0.244
Pr 0.500 0.000 0.756
Al 0.000 0.000 0.000
Al 0.000 0.500 0.632
Al 0.500 0.000 0.368
Al 0.500 0.500 0.000
Pt 0.000 0.500 0.870
Pt 0.500 0.000 0.130
Pt 0.500 0.500 0.500
Au 0.000 0.000 0.500

Values from the calculation:
Calculated density   9850 kg/m³
Spin magnetization   0.000 μB per cell
Energy   -5.612 eV/atom
Energy of formation from the pure elements   -1019 meV per atom

Density functional theory data (PBE-GGA) for an optimized crystal structure of LiZnCo2.

Lattice parameters (Å, degrees): 4.632 4.632 4.632 136.03 136.03 63.94
Element x y z (fractional)
Li 0.000 0.000 0.000
Zn 0.500 0.500 0.000
Co 0.250 0.750 0.500
Co 0.750 0.250 0.500

Values from the calculation:
Calculated density   6681 kg/m³
Spin magnetization   2.936 μB per cell
Energy   -4.273 eV/atom
Energy of formation from the pure elements   77 meV per atom

Density functional theory data (PBE-GGA) for an optimized crystal structure of Nb3O7F.

Lattice parameters (Å, degrees): 15.979 10.572 3.865 90.00 90.00 90.00
Element x y z (fractional)
Nb 0.040 0.250 0.042
Nb 0.166 0.554 0.002
Nb 0.166 0.946 0.002
Nb 0.334 0.054 0.502
Nb 0.334 0.446 0.502
Nb 0.460 0.750 0.542
Nb 0.540 0.250 0.458
Nb 0.666 0.554 0.498
Nb 0.666 0.946 0.498
Nb 0.834 0.054 0.998
Nb 0.834 0.446 0.998
Nb 0.960 0.750 0.958
O 0.029 0.250 0.515
O 0.062 0.625 0.994
O 0.062 0.875 0.994
O 0.121 0.112 0.009
O 0.121 0.388 0.009
O 0.203 0.547 0.504
O 0.203 0.953 0.504
O 0.297 0.047 0.004
O 0.297 0.453 0.004
O 0.379 0.612 0.509
O 0.379 0.888 0.509
O 0.438 0.125 0.494
O 0.438 0.375 0.494
O 0.471 0.750 0.015
O 0.529 0.250 0.985
O 0.562 0.625 0.506
O 0.562 0.875 0.506
O 0.621 0.112 0.491
O 0.621 0.388 0.491
O 0.703 0.547 0.996
O 0.703 0.953 0.996
O 0.797 0.047 0.496
O 0.797 0.453 0.496
O 0.879 0.612 0.991
O 0.879 0.888 0.991
O 0.938 0.125 0.006
O 0.938 0.375 0.006
O 0.971 0.750 0.485
F 0.212 0.750 0.007
F 0.288 0.250 0.507
F 0.712 0.750 0.493
F 0.788 0.250 0.993

Values from the calculation:
Calculated density   4168 kg/m³
ΔE to the lowest computed polymorph   0.0 meV/atom
Spin magnetization   0.000 μB per cell
Energy   -8.674 eV/atom

Density functional theory data (PBE-GGA) for an optimized crystal structure of Sr6Hg3Pt.

Lattice parameters (Å, degrees): 7.593 8.800 13.727 90.00 122.72 90.00
Element x y z (fractional)
Sr 0.087 0.043 0.239
Sr 0.087 0.457 0.739
Sr 0.213 0.695 0.068
Sr 0.213 0.805 0.568
Sr 0.396 0.165 0.067
Sr 0.396 0.335 0.567
Sr 0.604 0.665 0.433
Sr 0.604 0.835 0.933
Sr 0.787 0.195 0.432
Sr 0.787 0.305 0.932
Sr 0.913 0.543 0.261
Sr 0.913 0.957 0.761
Hg 0.306 0.116 0.746
Hg 0.306 0.384 0.246
Hg 0.500 0.000 0.500
Hg 0.500 0.500 0.000
Hg 0.694 0.616 0.754
Hg 0.694 0.884 0.254
Pt 0.000 0.000 0.000
Pt 0.000 0.500 0.500

Values from the calculation:
Calculated density   5692 kg/m³
Spin magnetization   0.000 μB per cell
Energy   -2.213 eV/atom
Energy of formation from the pure elements   -510 meV per atom

Density functional theory data (PBE-GGA) for an optimized crystal structure of SmPaPt2O8.

Lattice parameters (Å, degrees): 6.142 6.142 6.142 109.52 109.52 109.37
Element x y z (fractional)
Sm 0.000 0.000 0.000
Pa 0.250 0.750 0.500
Pt 0.500 0.500 0.000
Pt 0.750 0.250 0.500
O 0.291 0.111 0.820
O 0.291 0.471 0.180
O 0.365 0.032 0.333
O 0.529 0.709 0.820
O 0.700 0.032 0.667
O 0.889 0.709 0.180
O 0.968 0.300 0.333
O 0.968 0.635 0.667

Values from the calculation:
Calculated density   8375 kg/m³
Spin magnetization   0.000 μB per cell
Energy   -7.221 eV/atom

Density functional theory data (PBE-GGA) for an optimized crystal structure of OsRhPb2.

Lattice parameters (Å, degrees): 6.619 6.619 6.619 152.70 140.22 48.92
Element x y z (fractional)
Os 0.000 0.000 0.000
Rh 0.183 0.683 0.500
Pb 0.517 0.517 0.000
Pb 0.784 0.284 0.500

Values from the calculation:
Calculated density   13861 kg/m³
ΔE to the lowest computed polymorph   200.5 meV/atom
Spin magnetization   0.000 μB per cell
Energy   -5.899 eV/atom
Energy of formation from the pure elements   601 meV per atom

Density functional theory data (PBE-GGA) for an optimized crystal structure of Ni3IrW.

Lattice parameters (Å, degrees): 6.180 6.180 5.151 90.00 90.00 139.26
Element x y z (fractional)
Ni 0.000 0.000 0.250
Ni 0.000 0.000 0.750
Ni 0.188 0.812 0.502
Ni 0.188 0.812 0.998
Ni 0.812 0.188 0.002
Ni 0.812 0.188 0.498
Ir 0.381 0.619 0.250
Ir 0.619 0.381 0.750
W 0.391 0.609 0.750
W 0.609 0.391 0.250

Values from the calculation:
Calculated density   14282 kg/m³
ΔE to the lowest computed polymorph   0.0 meV/atom
Spin magnetization   0.000 μB per cell
Energy   -7.844 eV/atom
Energy of formation from the pure elements   -12 meV per atom

Density functional theory data (PBE-GGA) for an optimized crystal structure of Ca2PmReO8.

Lattice parameters (Å, degrees): 4.317 5.313 6.657 89.45 71.32 89.58
Element x y z (fractional)
Ca 0.176 0.009 0.206
Ca 0.824 0.991 0.794
Pm 0.500 0.500 0.500
Re 0.000 0.500 0.000
O 0.088 0.485 0.273
O 0.286 0.770 0.891
O 0.330 0.030 0.505
O 0.332 0.272 0.867
O 0.668 0.728 0.133
O 0.670 0.970 0.495
O 0.714 0.230 0.109
O 0.912 0.515 0.727

Values from the calculation:
Calculated density   6191 kg/m³
Spin magnetization   0.000 μB per cell
Energy   -7.326 eV/atom

Density functional theory data (PBE-GGA) for an optimized crystal structure of MgAs2Ru.

Lattice parameters (Å, degrees): 6.881 6.881 6.881 30.61 30.61 30.61
Element x y z (fractional)
Mg 0.000 0.000 0.000
As 0.237 0.237 0.237
As 0.763 0.763 0.763
Ru 0.500 0.500 0.500

Values from the calculation:
Calculated density   6104 kg/m³
Spin magnetization   0.000 μB per cell
Energy   -5.195 eV/atom
Energy of formation from the pure elements   -153 meV per atom

Density functional theory data (PBE-GGA) for an optimized crystal structure of Dy2CuSnSe5.

Lattice parameters (Å, degrees): 8.864 8.864 12.262 90.00 90.00 154.23
Element x y z (fractional)
Dy 0.117 0.883 0.500
Dy 0.120 0.880 0.879
Dy 0.880 0.120 0.379
Dy 0.883 0.117 0.000
Cu 0.496 0.504 0.187
Cu 0.504 0.496 0.687
Sn 0.183 0.817 0.192
Sn 0.817 0.183 0.692
Se 0.035 0.965 0.280
Se 0.295 0.705 0.861
Se 0.296 0.704 0.520
Se 0.351 0.649 0.194
Se 0.491 0.509 0.493
Se 0.509 0.491 0.993
Se 0.649 0.351 0.694
Se 0.704 0.296 0.020
Se 0.705 0.295 0.361
Se 0.965 0.035 0.780

Values from the calculation:
Calculated density   7152 kg/m³
Spin magnetization   0.000 μB per cell
Energy   -4.958 eV/atom

Density functional theory data (PBE-GGA) for an optimized crystal structure of MgTlW2.

Lattice parameters (Å, degrees): 6.037 6.037 6.037 101.78 101.78 126.27
Element x y z (fractional)
Mg 0.000 0.000 0.000
Mg 0.750 0.250 0.500
Tl 0.250 0.750 0.500
Tl 0.500 0.500 0.000
W 0.126 0.625 0.001
W 0.375 0.376 0.501
W 0.624 0.125 0.999
W 0.875 0.874 0.499

Values from the calculation:
Calculated density   12513 kg/m³
ΔE to the lowest computed polymorph   994.1 meV/atom
Spin magnetization   0.000 μB per cell
Energy   -6.008 eV/atom
Energy of formation from the pure elements   1459 meV per atom

Density functional theory data (PBE-GGA) for an optimized crystal structure of LiGe2Se2.

Lattice parameters (Å, degrees): 5.515 5.515 5.515 122.84 122.84 85.14
Element x y z (fractional)
Li 0.000 0.000 0.000
Ge 0.339 0.339 0.000
Ge 0.661 0.661 0.000
Se 0.250 0.750 0.500
Se 0.750 0.250 0.500

Values from the calculation:
Calculated density   4555 kg/m³
ΔE to the lowest computed polymorph   0.0 meV/atom
Spin magnetization   0.000 μB per cell
Energy   -3.870 eV/atom